*one*
Compound: PmYHoTh
Source: the Alexandria database
Functional: PBE
Structure: relaxed

Properties
Symmetry: R3m
Crystal system: trigonal
Fermi-level density of states: 6.19 states/eV/cell

a b c (Å): 3.6018 3.6011 11.7389
angles (deg): 90.00 98.84 119.99
Last column: nearest neighbours and their distance in Å.
Positions (direct):
Th 0.3009 0.5483 0.8649  3 Ho 3.47, 3 Y 3.51, 6 Th 3.60
Ho 0.4739 0.1348 0.6240  3 Th 3.47, 3 Pm 3.59, 6 Ho 3.60
Pm 0.9714 0.3838 0.3706  3 Ho 3.59, 6 Pm 3.60, 3 Y 3.66
Y 0.1317 0.9639 0.1102  3 Th 3.51, 6 Y 3.60, 3 Pm 3.66

---

*two*
Compound: PmYHoTh
Source: the Alexandria database
Functional: PBE
Structure: relaxed

Properties
Symmetry: F-43m
Crystal system: cubic
Fermi-level density of states: 9.09 states/eV/cell

a b c (Å): 5.7026 5.7026 5.7026
angles (deg): 60.00 60.00 60.00
Last column: nearest neighbours and their distance in Å.
Positions (direct):
Y 0.7500 0.7500 0.7500  4 Ho 3.49, 4 Pm 3.49
Th 0.2500 0.2500 0.2500  4 Ho 3.49, 4 Pm 3.49
Ho 0.5000 0.5000 0.5000  4 Th 3.49, 4 Y 3.49
Pm 0.0000 0.0000 0.0000  4 Y 3.49, 4 Th 3.49

---

Which of them is the least stable? Correct choice: *two*.

---

*one*
Compound: PmHo2Ti
Source: the Alexandria database
Functional: PBE
Structure: relaxed

Properties
Symmetry: R-3m
Crystal system: trigonal
Fermi-level density of states: 5.34 states/eV/cell

a b c (Å): 3.3633 3.3633 11.9445
angles (deg): 81.91 81.91 60.00
Last column: nearest neighbours and their distance in Å.
Positions (direct):
Pm 0.5000 0.5000 0.5000  6 Pm 3.36, 6 Ho 3.54
Ho 0.9172 0.9172 0.2484  1 Ti 2.93
Ho 0.0828 0.0828 0.7516  1 Ti 2.93
Ti 0.0000 0.0000 0.0000  2 Ho 2.93

---

*two*
Compound: PmHo2Ti
Source: the Alexandria database
Functional: PBE
Structure: relaxed

Properties
Symmetry: P4/mmm
Crystal system: tetragonal
Fermi-level density of states: 6.41 states/eV/cell

a b c (Å): 3.3865 3.3865 9.7602
angles (deg): 90.00 90.00 90.00
Last column: nearest neighbours and their distance in Å.
Positions (direct):
Ho 0.0000 0.0000 0.7868  4 Ti 3.17, 4 Ho 3.39
Ti 0.5000 0.5000 0.0000  8 Ho 3.17, 4 Ti 3.39
Pm 0.5000 0.5000 0.5000  4 Pm 3.39, 8 Ho 3.68
Ho 0.0000 0.0000 0.2132  4 Ti 3.17, 4 Ho 3.39

---

Which of them is the least stable? Correct choice: *one*.

---

*one*
Compound: Pm2HoTl2
Source: the Alexandria database
Functional: PBE
Structure: relaxed

Properties
Symmetry: Cmc2_1
Crystal system: orthorhombic
Fermi-level density of states: 12.22 states/eV/cell

a b c (Å): 5.1999 6.6289 9.0416
angles (deg): 90.00 106.71 90.00
Last column: nearest neighbours and their distance in Å.
Positions (direct):
Tl 0.4105 0.5552 0.8211  3 Ho 3.22-3.44, 6 Pm 3.33-3.59
Tl 0.2005 0.3530 0.4011  5 Pm 3.13-3.33, 2 Ho 3.38
Pm 0.9857 0.7987 0.9714  5 Tl 3.25-3.59, 2 Pm 3.35, 2 Ho 3.56
Tl 0.5895 0.0552 0.1789  3 Ho 3.22-3.44, 6 Pm 3.33-3.59
Ho 0.6077 0.5720 0.2155  5 Tl 3.22-3.44, 4 Pm 3.56-3.58
Pm 0.8011 0.3555 0.6022  6 Tl 3.13-3.48
Pm 0.0143 0.2987 0.0286  5 Tl 3.25-3.59, 2 Pm 3.35, 2 Ho 3.56
Pm 0.1989 0.8555 0.3978  6 Tl 3.13-3.48
Tl 0.7995 0.8530 0.5989  5 Pm 3.13-3.33, 2 Ho 3.38
Ho 0.3923 0.0720 0.7845  5 Tl 3.22-3.44, 4 Pm 3.56-3.58

---

*two*
Compound: Pm2HoTl2
Source: the Alexandria database
Functional: PBE
Structure: relaxed

Properties
Symmetry: P4/mbm
Crystal system: tetragonal
Fermi-level density of states: 13.27 states/eV/cell

a b c (Å): 4.5646 8.1982 8.1982
angles (deg): 90.00 90.00 90.00
Last column: nearest neighbours and their distance in Å.
Positions (direct):
Pm 0.5000 0.6712 0.8288  6 Tl 3.23-3.38
Tl 0.0000 0.3689 0.8689  1 Tl 3.04, 2 Ho 3.21, 6 Pm 3.23-3.38
Pm 0.5000 0.8288 0.3288  6 Tl 3.23-3.38
Pm 0.5000 0.1712 0.6712  6 Tl 3.23-3.38
Tl 0.0000 0.1311 0.3689  1 Tl 3.04, 2 Ho 3.21, 6 Pm 3.23-3.38
Tl 0.0000 0.8689 0.6311  1 Tl 3.04, 2 Ho 3.21, 6 Pm 3.23-3.38
Pm 0.5000 0.3288 0.1712  6 Tl 3.23-3.38
Ho 0.0000 0.0000 0.0000  4 Tl 3.21
Tl 0.0000 0.6311 0.1311  1 Tl 3.04, 2 Ho 3.21, 6 Pm 3.23-3.38
Ho 0.0000 0.5000 0.5000  4 Tl 3.21

---

Which of them is the least stable? Correct choice: *one*.

---

*one*
Compound: PmHoTl
Source: the Alexandria database
Functional: PBE
Structure: relaxed

Properties
Symmetry: P6_3/mmc
Crystal system: hexagonal
Fermi-level density of states: 8.24 states/eV/cell

a b c (Å): 5.4740 5.4740 6.8218
angles (deg): 90.00 90.00 120.00
Last column: nearest neighbours and their distance in Å.
Positions (direct):
Pm 0.6668 0.8332 0.2500  5 Tl 3.16-3.41
Ho 0.0000 0.5000 0.5000  2 Ho 3.41, 6 Pm 3.59, 6 Tl 3.59
Tl 0.3334 0.1666 0.2500  5 Pm 3.16-3.41
Tl 0.6666 0.8334 0.7500  5 Pm 3.16-3.41
Ho 0.0000 0.5000 0.0000  2 Ho 3.41, 6 Pm 3.59, 6 Tl 3.59
Pm 0.3332 0.1668 0.7500  5 Tl 3.16-3.41

---

*two*
Compound: PmHoTl
Source: the Alexandria database
Functional: PBE
Structure: relaxed

Properties
Symmetry: F-43m
Crystal system: cubic
Fermi-level density of states: 5.28 states/eV/cell

a b c (Å): 5.2420 5.2420 5.2420
angles (deg): 60.00 60.00 60.00
Last column: nearest neighbours and their distance in Å.
Positions (direct):
Tl 0.2500 0.2500 0.2500  4 Ho 3.21, 4 Pm 3.21
Pm 0.5000 0.5000 0.5000  4 Tl 3.21
Ho 0.0000 0.0000 0.0000  4 Tl 3.21

---

*three*
Compound: PmHoTl
Source: the Alexandria database
Functional: PBE
Structure: relaxed

Properties
Symmetry: P3m1
Crystal system: trigonal
Fermi-level density of states: 2.01 states/eV/cell

a b c (Å): 3.7545 5.2926 5.2926
angles (deg): 120.00 90.00 90.00
Last column: nearest neighbours and their distance in Å.
Positions (direct):
Tl 0.5697 0.3333 0.6667  3 Ho 3.09, 3 Pm 3.42
Pm 0.9797 0.0000 0.0000  6 Tl 3.42-3.77, 6 Ho 3.53-3.64, 2 Pm 3.75
Ho 0.4506 0.6667 0.3333  3 Tl 3.09

---

Which of them is the least stable? Correct choice: *two*.

---

*one*
Compound: PmHoTl
Source: the Alexandria database
Functional: PBE
Structure: relaxed

Properties
Symmetry: I4mm
Crystal system: tetragonal
Fermi-level density of states: 3.71 states/eV/cell

a b c (Å): 3.6366 3.6366 7.3167
angles (deg): 104.39 104.39 90.00
Last column: nearest neighbours and their distance in Å.
Positions (direct):
Ho 0.6041 0.6041 0.2082  4 Tl 3.29, 4 Ho 3.64, 4 Pm 3.64
Tl 0.9540 0.9540 0.9081  4 Ho 3.29, 4 Pm 3.40, 4 Tl 3.64
Pm 0.2919 0.2919 0.5837  4 Tl 3.40, 4 Pm 3.64, 4 Ho 3.64

---

*two*
Compound: PmHoTl
Source: the Alexandria database
Functional: PBE
Structure: relaxed

Properties
Symmetry: P6_3/mmc
Crystal system: hexagonal
Fermi-level density of states: 6.75 states/eV/cell

a b c (Å): 5.4677 5.4677 6.7670
angles (deg): 90.00 90.00 119.98
Last column: nearest neighbours and their distance in Å.
Positions (direct):
Pm 0.0000 0.5000 0.0000  2 Pm 3.38, 6 Tl 3.58, 6 Ho 3.58
Tl 0.3332 0.1668 0.7500  5 Ho 3.16-3.38
Ho 0.6666 0.8334 0.7500  5 Tl 3.16-3.38
Tl 0.6668 0.8332 0.2500  5 Ho 3.16-3.38
Pm 0.0000 0.5000 0.5000  2 Pm 3.38, 6 Tl 3.58, 6 Ho 3.58
Ho 0.3334 0.1666 0.2500  5 Tl 3.16-3.38

---

Which of them is the least stable? Correct choice: *one*.

---

*one*
Compound: PmHo6Tl2
Source: the Alexandria database
Functional: PBE
Structure: relaxed

Properties
Symmetry: I-42m
Crystal system: tetragonal
Fermi-level density of states: 10.67 states/eV/cell

a b c (Å): 5.6283 5.6283 11.1616
angles (deg): 104.60 104.60 90.00
Last column: nearest neighbours and their distance in Å.
Positions (direct):
Ho 0.2500 0.7500 0.5000  4 Tl 3.07
Ho 0.8744 0.2596 0.1340  1 Pm 2.82, 1 Tl 3.01, 1 Ho 3.07
Ho 0.1256 0.1256 0.8660  1 Pm 2.82, 1 Tl 3.01, 1 Ho 3.07
Tl 0.8085 0.8085 0.6171  6 Ho 3.01-3.07
Ho 0.2596 0.8744 0.1340  1 Pm 2.82, 1 Tl 3.01, 1 Ho 3.07
Pm 0.5000 0.5000 0.0000  4 Ho 2.82
Ho 0.7500 0.2500 0.5000  4 Tl 3.07
Tl 0.1915 0.1915 0.3829  6 Ho 3.01-3.07
Ho 0.7404 0.7404 0.8660  1 Pm 2.82, 1 Tl 3.01, 1 Ho 3.07

---

*two*
Compound: PmHo6Tl2
Source: the Alexandria database
Functional: PBE
Structure: relaxed

Properties
Symmetry: C2/m
Crystal system: monoclinic
Fermi-level density of states: 12.06 states/eV/cell

a b c (Å): 3.7436 6.6409 11.8626
angles (deg): 74.82 80.92 73.63
Last column: nearest neighbours and their distance in Å.
Positions (direct):
Ho 0.6902 0.2021 0.4175  2 Tl 3.29, 8 Ho 3.40-3.63
Ho 0.0116 0.3241 0.6526  2 Tl 3.22, 6 Ho 3.49-3.58
Ho 0.3098 0.7979 0.5825  2 Tl 3.29, 8 Ho 3.40-3.63
Tl 0.3586 0.0682 0.2146  6 Ho 3.22-3.29, 2 Pm 3.24
Pm 0.0000 0.0000 0.0000  4 Tl 3.24
Tl 0.6414 0.9318 0.7854  6 Ho 3.22-3.29, 2 Pm 3.24
Ho 0.6872 0.4997 0.1260  2 Tl 3.29, 5 Ho 3.49-3.58
Ho 0.3128 0.5003 0.8740  2 Tl 3.29, 5 Ho 3.49-3.58
Ho 0.9884 0.6759 0.3474  2 Tl 3.22, 6 Ho 3.49-3.58

---

Which of them is the least stable? Correct choice: *one*.